[1]
# Tb8Pm3Nd (PBE, optimized geometry)
data_Tb8Pm3Nd
_cell_length_a 8.728
_cell_length_b 8.728
_cell_length_c 8.728
_cell_angle_alpha 136.47
_cell_angle_beta 98.37
_cell_angle_gamma 97.44
_space_group_name_H-M_alt 'P 1'
_space_group_IT_number 1
loop_
_space_group_symop_operation_xyz
'x,y,z'
loop_
_atom_site_label
_atom_site_fract_x
_atom_site_fract_y
_atom_site_fract_z
Tb1 0.080 0.250 0.830
Tb2 0.251 0.249 0.501
Tb3 0.251 0.751 0.002
Tb4 0.420 0.250 0.170
Tb5 0.580 0.750 0.830
Tb6 0.749 0.249 0.998
Tb7 0.749 0.751 0.499
Tb8 0.920 0.750 0.170
Pm1 0.251 0.751 0.500
Pm2 0.500 0.500 0.000
Pm3 0.749 0.249 0.500
Nd1 0.000 0.000 0.000
# Fermi-level density of states ... 1.27 states/eV per atom
# SG ... No. 71
# Total magnetization ... 0.00 μB per atom
# Formation energy from the elements ... 299.2 meV per atom

[2]
# Tb3Pm8Nd4 (PBE, optimized geometry)
data_Tb3Pm8Nd4
_cell_length_a 9.408
_cell_length_b 9.408
_cell_length_c 6.871
_cell_angle_alpha 111.28
_cell_angle_beta 111.28
_cell_angle_gamma 86.47
_space_group_name_H-M_alt 'P 1'
_space_group_IT_number 1
loop_
_space_group_symop_operation_xyz
'x,y,z'
loop_
_atom_site_label
_atom_site_fract_x
_atom_site_fract_y
_atom_site_fract_z
Tb1 0.000 0.000 0.000
Tb2 0.000 0.500 0.500
Tb3 0.500 0.000 0.500
Pm1 0.147 0.853 0.500
Pm2 0.224 0.224 0.925
Pm3 0.244 0.244 0.469
Pm4 0.246 0.754 0.000
Pm5 0.754 0.246 0.000
Pm6 0.756 0.756 0.531
Pm7 0.776 0.776 0.075
Pm8 0.853 0.147 0.500
Nd1 0.000 0.500 0.000
Nd2 0.500 0.000 0.000
Nd3 0.500 0.500 0.000
Nd4 0.500 0.500 0.500
# Fermi-level density of states ... 1.86 states/eV per atom
# SG ... No. 12
# Total magnetization ... 0.00 μB per atom
# Formation energy from the elements ... 340.9 meV per atom

- Look up the Fermi-level density of states of the second one.
  1.86 states/eV per atom